[1]
LaSb3Pb after structural relaxation, computed with GGA-PBEsol.

a b c (Å): 5.5990 5.5990 5.5990
angles (deg): 90.00 90.00 90.00
With the nearest neighbours (Å) after each atom.
Space group Pm-3m (No. 221)
Symmetry-distinct sites (fractional):
La: 0.0000 0.0000 0.0000 [1 per cell]  12 Sb 3.96
Sb: 0.0000 0.5000 0.5000 [3 per cell]  2 Pb 2.80
Pb: 0.5000 0.5000 0.5000 [1 per cell]  6 Sb 2.80

Output
- Uncorrected formation energy: 0.34 eV/atom
- Total moment: 0.0 μB per cell
- VASP energy: -4.264 eV per atom
- Calculated density: 6730 kg/m³


[2]
TaIn4Se after structural relaxation, computed with GGA-PBEsol.

a b c (Å): 8.0691 8.0691 8.0691
angles (deg): 90.00 90.00 90.00
With the nearest neighbours (Å) after each atom.
Space group F-43m (No. 216)
Symmetry-distinct sites (fractional):
Ta: 0.0000 0.0000 0.0000 [4 per cell]  12 In 3.34, 4 Se 3.49
In: 0.1254 0.1254 0.6254 [16 per cell]  6 In 2.84-2.86
Se: 0.2500 0.2500 0.2500 [4 per cell]  12 In 3.35, 4 Ta 3.49

Output
- Uncorrected formation energy: 0.53 eV/atom
- Total moment: 0.0 μB per cell
- VASP energy: -4.191 eV per atom
- Calculated density: 9092 kg/m³


[3]
Rb2CoF4 after structural relaxation, computed with GGA-PBEsol.

a b c (Å): 4.0804 4.0804 13.6586
angles (deg): 90.00 90.00 90.00
With the nearest neighbours (Å) after each atom.
Space group I4/mmm (No. 139)
Symmetry-distinct sites (fractional):
Rb: 0.0000 0.0000 0.1460 [4 per cell]  9 F 2.81-2.89
Co: 0.0000 0.0000 0.5000 [2 per cell]  6 F 2.03-2.04
F: 0.0000 0.0000 0.3517 [4 per cell]  1 Co 2.03
F: 0.0000 0.5000 0.0000 [4 per cell]  2 Co 2.04

Output
- Uncorrected formation energy: -2.31 eV/atom
- Total moment: 6.0 μB per cell
- VASP energy: -4.809 eV per atom
- Calculated density: 4467 kg/m³


Which value of uncorrected formation energy does entry 3 give? -2.31 eV/atom


The highest uncorrected formation energy belongs to which entry? TaIn4Se